1.
DFT (GGA-PBE) results for POsPbO2 after structural relaxation.

The uncorrected formation energy is 1.043 eV/atom. The total magnetic moment is 3.45 μB per formula unit. The value obtained for the total energy is -5.010 eV/atom.

The structure belongs to space group P4/mmm (No. 123); the cell edges are 4.0140, 4.0140 and 5.7669 Å and the angles 90.00°, 90.00° and 90.00°. Symmetry generates all atoms from P at (0.0000, 0.0000, 0.0000), Os at (0.5000, 0.5000, 0.0000), Pb at (0.0000, 0.0000, 0.5000) and O at (0.0000, 0.5000, 0.5000).



2.
DFT (GGA-PBE) results for KSc2Se after structural relaxation.

The uncorrected formation energy is -0.446 eV/atom. The total magnetic moment is 0.00 μB per formula unit. The value obtained for the total energy is -4.758 eV/atom.

The structure belongs to space group R-3m (No. 166, hexagonal axes); the cell edges are 3.7080, 3.7080 and 30.7555 Å and the angles 90.00°, 90.00° and 120.00°. Symmetry generates all atoms from K at (0.0000, 0.0000, 0.0000), Sc at (0.0000, 0.0000, 0.1159) and Se at (0.0000, 0.0000, 0.5000).



3.
DFT (GGA-PBE) results for Tl15HgSb4 after structural relaxation.

The uncorrected formation energy is -0.006 eV/atom. The total magnetic moment is 0.00 μB per formula unit. The value obtained for the total energy is -2.620 eV/atom.

The structure belongs to space group P4/mmm (No. 123); the cell edges are 5.0048, 5.0048 and 24.6581 Å and the angles 90.00°, 90.00° and 90.00°. Symmetry generates all atoms from Tl at (0.0000, 0.0000, 0.0000), Tl at (0.0000, 0.0000, 0.2045), Tl at (0.0000, 0.0000, 0.4013), Tl at (0.0000, 0.5000, 0.1035), Tl at (0.0000, 0.5000, 0.3017), Tl at (0.0000, 0.5000, 0.5000), Hg at (0.5000, 0.5000, 0.0000), Sb at (0.5000, 0.5000, 0.1944) and Sb at (0.5000, 0.5000, 0.3979).



4.
DFT (GGA-PBE) results for CaAl2ZnPd4 after structural relaxation.

The total magnetic moment is 0.00 μB per formula unit. The value obtained for the total energy is -4.668 eV/atom. For the energy of formation, the calculation gives -0.727 eV per atom.

The structure belongs to space group R-3m (No. 166, hexagonal axes); the cell edges are 4.3228, 4.3228 and 25.5188 Å and the angles 90.00°, 90.00° and 120.00°. Symmetry generates all atoms from Ca at (0.0000, 0.0000, 0.0000), Al at (0.0000, 0.0000, 0.2379), Zn at (0.0000, 0.0000, 0.5000), Pd at (0.0000, 0.0000, 0.1302) and Pd at (0.0000, 0.0000, 0.4018).



5.
DFT (GGA-PBE) results for GdCdPt2 after structural relaxation.

The total magnetic moment is 7.03 μB per formula unit. The value obtained for the total energy is -7.538 eV/atom. For the energy of formation, the calculation gives -0.769 eV per atom.

The structure belongs to space group P4/mmm (No. 123); the cell edges are 4.6623, 4.6623 and 3.6411 Å and the angles 90.00°, 90.00° and 90.00°. Symmetry generates all atoms from Gd at (0.0000, 0.0000, 0.0000), Cd at (0.5000, 0.5000, 0.0000) and Pt at (0.0000, 0.5000, 0.5000).



6.
DFT (GGA-PBE) results for AlRe2Os after structural relaxation.

The total magnetic moment is 0.00 μB per formula unit. The value obtained for the total energy is -10.005 eV/atom. For the energy of formation, the calculation gives -0.038 eV per atom.

The structure belongs to space group R3m (No. 160, hexagonal axes); the cell edges are 2.7973, 2.7973 and 26.0860 Å and the angles 90.00°, 90.00° and 120.00°. Symmetry generates all atoms from Al at (0.0000, 0.0000, 0.0000), Re at (0.0000, 0.0000, 0.2487), Re at (0.0000, 0.0000, 0.4990) and Os at (0.0000, 0.0000, 0.7492).



7.
DFT (GGA-PBE) results for Zr2SiAs after structural relaxation.

The uncorrected formation energy is -0.914 eV/atom. The total magnetic moment is 0.00 μB per formula unit. The value obtained for the total energy is -7.706 eV/atom.

The structure belongs to space group C2/m (No. 12); the cell edges are 6.6340, 3.8305 and 6.7198 Å and the angles 90.00°, 109.10° and 90.00°. Symmetry generates all atoms from Zr at (0.2468, 0.0000, 0.2413), Si at (0.0000, 0.5000, 0.0000) and As at (0.0000, 0.0000, 0.5000).



8.
DFT (GGA-PBE) results for Tb2AuI3 after structural relaxation.

The uncorrected formation energy is -1.050 eV/atom. The total magnetic moment is 0.00 μB per formula unit. The value obtained for the total energy is -3.915 eV/atom.

The structure belongs to space group C2/m (No. 12); the cell edges are 18.9888, 4.2916 and 12.7644 Å and the angles 90.00°, 123.47° and 90.00°. Symmetry generates all atoms from Tb at (0.1114, 0.0000, 0.4460), Tb at (0.1373, 0.5000, 0.8033), Au at (0.0656, 0.0000, 0.6292), I at (0.0429, 0.5000, 0.2354), I at (0.1640, 0.0000, 0.0124) and I at (0.2396, 0.5000, 0.6258).